[1]
Density functional theory data (PBE-GGA) for a relaxed structure of Al4Co.

abc: 4.920 4.920 4.221
angles: 90.00 90.00 131.45
Positions (direct):
Al: 0.142 0.858 0.000
Al: 0.353 0.647 0.500
Al: 0.647 0.353 0.500
Al: 0.858 0.142 0.000
Co: 0.000 0.000 0.500

Values from the calculation:
The value obtained for the offset from the most stable computed form is 0.0 meV per atom.

=====

[2]
Density functional theory data (PBE-GGA) for a relaxed structure of AlCo.

abc: 4.172 4.172 4.172
angles: 38.00 38.00 38.00
Positions (direct):
Al: 0.000 0.000 0.000
Co: 0.500 0.500 0.500

Values from the calculation:
The final energy is -11.4 eV per formula unit.

=====

[3]
Density functional theory data (PBE-GGA) for a relaxed structure of Al4Co.

abc: 4.729 4.729 4.729
angles: 99.26 99.26 132.71
Positions (direct):
Al: 0.105 0.705 0.810
Al: 0.295 0.105 0.400
Al: 0.705 0.895 0.600
Al: 0.895 0.295 0.190
Co: 0.500 0.500 0.000

Values from the calculation:
The value obtained for the offset from the most stable computed form is 97.1 meV per atom.

=====

[4]
Density functional theory data (PBE-GGA) for a relaxed structure of Al5Co.

abc: 4.796 4.796 4.412
angles: 90.00 90.00 120.00
Positions (direct):
Al: 0.000 0.683 0.000
Al: 0.317 0.317 0.000
Al: 0.333 0.667 0.500
Al: 0.667 0.333 0.500
Al: 0.683 0.000 0.000
Co: 0.000 0.000 0.500

Values from the calculation:
The final energy is -26.5 eV per formula unit.

=====

[5]
Density functional theory data (PBE-GGA) for a relaxed structure of Al2Co.

abc: 3.560 3.560 6.622
angles: 90.00 90.00 90.00
Positions (direct):
Al: 0.250 0.250 0.129
Al: 0.250 0.750 0.500
Al: 0.750 0.250 0.500
Al: 0.750 0.750 0.871
Co: 0.250 0.250 0.753
Co: 0.750 0.750 0.247

Values from the calculation:
The final energy is -15.3 eV per formula unit.

=====

[6]
Density functional theory data (PBE-GGA) for a relaxed structure of Al5Co.

abc: 7.808 3.731 6.474
angles: 90.00 90.00 90.00
Positions (direct):
Al: 0.000 0.000 0.000
Al: 0.061 0.500 0.309
Al: 0.250 0.000 0.577
Al: 0.250 0.500 0.927
Al: 0.439 0.500 0.309
Al: 0.500 0.000 0.000
Al: 0.561 0.500 0.691
Al: 0.750 0.000 0.423
Al: 0.750 0.500 0.073
Al: 0.939 0.500 0.691
Co: 0.250 0.000 0.204
Co: 0.750 0.000 0.796

Values from the calculation:
The final energy is -27.2 eV per formula unit.

=====

[7]
Density functional theory data (PBE-GGA) for a relaxed structure of Al4Co.

abc: 4.821 4.821 4.821
angles: 109.47 109.47 109.47
Positions (direct):
Al: 0.000 0.000 0.500
Al: 0.000 0.500 0.000
Al: 0.500 0.000 0.000
Al: 0.500 0.500 0.500
Co: 0.000 0.000 0.000

Values from the calculation:
The value obtained for the offset from the most stable computed form is 170.3 meV per atom.

=====

[8]
Density functional theory data (PBE-GGA) for a relaxed structure of Al2Co.

abc: 5.558 6.446 2.725
angles: 90.00 90.00 90.00
Positions (direct):
Al: 0.224 0.228 0.000
Al: 0.276 0.728 0.500
Al: 0.724 0.272 0.500
Al: 0.776 0.772 0.000
Co: 0.000 0.000 0.500
Co: 0.500 0.500 0.000

Values from the calculation:
The final energy is -14.9 eV per formula unit.

=====

[9]
Density functional theory data (PBE-GGA) for a relaxed structure of AlCo.

abc: 4.664 4.664 4.011
angles: 90.00 90.00 145.62
Positions (direct):
Al: 0.096 0.904 0.750
Al: 0.904 0.096 0.250
Co: 0.361 0.639 0.750
Co: 0.639 0.361 0.250

Values from the calculation:
The final energy is -11.5 eV per formula unit.

=====

[10]
Density functional theory data (PBE-GGA) for a relaxed structure of AlCo.

abc: 8.262 8.262 8.262
angles: 18.91 18.91 18.91
Positions (direct):
Al: 0.119 0.119 0.119
Al: 0.881 0.881 0.881
Co: 0.372 0.372 0.372
Co: 0.628 0.628 0.628

Values from the calculation:
The final energy is -11.0 eV per formula unit.

=====

[11]
Density functional theory data (PBE-GGA) for a relaxed structure of AlCo.

abc: 2.730 2.730 6.886
angles: 90.00 90.00 90.00
Positions (direct):
Al: 0.250 0.250 0.163
Al: 0.750 0.750 0.837
Co: 0.250 0.250 0.607
Co: 0.750 0.750 0.393

Values from the calculation:
The final energy is -11.2 eV per formula unit.

=====

[12]
Density functional theory data (PBE-GGA) for a relaxed structure of Al4Co5.

abc: 5.739 5.739 5.739
angles: 96.05 96.05 142.11
Positions (direct):
Al: 0.000 0.304 0.304
Al: 0.000 0.696 0.696
Al: 0.304 0.000 0.304
Al: 0.696 0.000 0.696
Co: 0.000 0.000 0.000
Co: 0.335 0.335 0.669
Co: 0.335 0.665 0.000
Co: 0.665 0.335 0.000
Co: 0.665 0.665 0.331

Values from the calculation:
The value obtained for the offset from the most stable computed form is 42.1 meV per atom.

=====

| no. | mass density (kg/m3) | V (Å³/f.u.) | size of the total moment (μB/cell) |
| --- | --- | --- | --- |
| 1 | 3618 | 76.6 | 0.00 |
| 2 | 5773 | 24.7 | 0.61 |
| 3 | 3892 | 71.2 | 0.09 |
| 4 | 3663 | 87.9 | 0.41 |
| 5 | 4467 | 42.0 | 0.00 |
| 6 | 3413 | 94.3 | 0.00 |
| 7 | 3211 | 86.3 | 0.00 |
| 8 | 3840 | 48.8 | 0.00 |
| 9 | 5790 | 24.6 | 0.01 |
| 10 | 5510 | 25.9 | 2.51 |
| 11 | 5559 | 25.7 | 2.15 |
| 12 | 6090 | 109.8 | 3.13 |